20
Lattice="8.3281 0.0000 0.0000 0.0000 8.3281 0.0000 0.0000 0.0000 3.1390" Properties=species:S:1:pos:R:3 comment="PBE TiBe2V2Co5, optimized geometry" dos_at_fermi_per_ev_cell=15.31 e_form_ev_per_atom=-0.221 dft_energy_ev_per_atom=-7.1328 pbc="T T T"
Ti 0.0000 0.0000 0.0000
Ti 4.1640 4.1640 0.0000
Be 1.0103 3.1538 0.0000
Be 3.1538 7.3178 0.0000
Be 5.1743 1.0103 0.0000
Be 7.3178 5.1743 0.0000
V 1.4498 5.6138 0.0000
V 2.7143 1.4498 0.0000
V 5.6138 6.8783 0.0000
V 6.8783 2.7143 0.0000
Co 0.0000 4.1640 1.5695
Co 0.6016 1.7682 1.5695
Co 1.7682 7.7265 1.5695
Co 2.3959 3.5624 1.5695
Co 3.5624 5.9322 1.5695
Co 4.1640 0.0000 1.5695
Co 4.7656 2.3959 1.5695
Co 5.9322 4.7656 1.5695
Co 6.5599 0.6016 1.5695
Co 7.7265 6.5599 1.5695